Record 1
# KAl6Pd3 PBE relaxed
# - Energy relative to the elements: -36 kJ per mole of atoms
data_KAl6Pd3
_chemical_formula_sum 'K2 Al12 Pd6'
_space_group_name_H-M_alt 'P 1'
_space_group_IT_number 1
_cell_length_a 6.998
_cell_length_b 6.766
_cell_length_c 8.632
_cell_angle_alpha 90.00
_cell_angle_beta 118.55
_cell_angle_gamma 90.00
loop_
_space_group_symop_operation_xyz
'x,y,z'
loop_
_atom_site_label
_atom_site_type_symbol
_atom_site_fract_x
_atom_site_fract_y
_atom_site_fract_z
K1 K 0.000 0.000 0.000
K2 K 0.000 0.500 0.500
Al1 Al 0.137 0.027 0.683
Al2 Al 0.137 0.473 0.183
Al3 Al 0.296 0.682 0.878
Al4 Al 0.296 0.818 0.378
Al5 Al 0.457 0.186 0.265
Al6 Al 0.457 0.314 0.765
Al7 Al 0.543 0.686 0.235
Al8 Al 0.543 0.814 0.735
Al9 Al 0.704 0.182 0.622
Al10 Al 0.704 0.318 0.122
Al11 Al 0.863 0.527 0.817
Al12 Al 0.863 0.973 0.317
Pd1 Pd 0.236 0.156 0.437
Pd2 Pd 0.236 0.344 0.937
Pd3 Pd 0.500 0.000 0.000
Pd4 Pd 0.500 0.500 0.500
Pd5 Pd 0.764 0.656 0.063
Pd6 Pd 0.764 0.844 0.563

***

Record 2
# KAl3Pd PBE relaxed
# - Energy relative to the elements: -5 kJ per mole of atoms
# - Energy above the lowest structure with this stoichiometry: 0 meV per atom
data_KAl3Pd
_chemical_formula_sum 'K1 Al3 Pd1'
_space_group_name_H-M_alt 'P 1'
_space_group_IT_number 1
_cell_length_a 4.896
_cell_length_b 4.896
_cell_length_c 4.896
_cell_angle_alpha 90.00
_cell_angle_beta 90.00
_cell_angle_gamma 90.00
loop_
_space_group_symop_operation_xyz
'x,y,z'
loop_
_atom_site_label
_atom_site_type_symbol
_atom_site_fract_x
_atom_site_fract_y
_atom_site_fract_z
K1 K 0.000 0.000 0.000
Al1 Al 0.000 0.500 0.500
Al2 Al 0.500 0.000 0.500
Al3 Al 0.500 0.500 0.000
Pd1 Pd 0.500 0.500 0.500

***

Record 3
# KAl4Pd PBE relaxed
# - Energy relative to the elements: -13 kJ per mole of atoms
data_KAl4Pd
_chemical_formula_sum 'K2 Al8 Pd2'
_space_group_name_H-M_alt 'P 1'
_space_group_IT_number 1
_cell_length_a 9.220
_cell_length_b 9.066
_cell_length_c 6.111
_cell_angle_alpha 71.85
_cell_angle_beta 69.11
_cell_angle_gamma 39.04
loop_
_space_group_symop_operation_xyz
'x,y,z'
loop_
_atom_site_label
_atom_site_type_symbol
_atom_site_fract_x
_atom_site_fract_y
_atom_site_fract_z
K1 K 0.000 0.000 0.500
K2 K 0.500 0.500 0.000
Al1 Al 0.036 0.328 0.672
Al2 Al 0.161 0.487 0.839
Al3 Al 0.328 0.036 0.964
Al4 Al 0.487 0.161 0.513
Al5 Al 0.513 0.839 0.487
Al6 Al 0.672 0.964 0.036
Al7 Al 0.839 0.513 0.161
Al8 Al 0.964 0.672 0.328
Pd1 Pd 0.250 0.250 0.250
Pd2 Pd 0.750 0.750 0.750

***

Record 4
# K2AlRePd PBE relaxed
# - Energy relative to the elements: 139 kJ per mole of atoms
data_K2AlRePd
_chemical_formula_sum 'K2 Al1 Re1 Pd1'
_space_group_name_H-M_alt 'P 1'
_space_group_IT_number 1
_cell_length_a 6.371
_cell_length_b 6.371
_cell_length_c 4.609
_cell_angle_alpha 90.00
_cell_angle_beta 90.00
_cell_angle_gamma 90.00
loop_
_space_group_symop_operation_xyz
'x,y,z'
loop_
_atom_site_label
_atom_site_type_symbol
_atom_site_fract_x
_atom_site_fract_y
_atom_site_fract_z
K1 K 0.000 0.500 0.000
K2 K 0.500 0.000 0.000
Al1 Al 0.000 0.000 0.000
Re1 Re 0.500 0.500 0.500
Pd1 Pd 0.000 0.000 0.500

***

Record 5
# KSr2AlPd PBE relaxed
# - Energy relative to the elements: -20 kJ per mole of atoms
data_KSr2AlPd
_chemical_formula_sum 'K1 Sr2 Al1 Pd1'
_space_group_name_H-M_alt 'P 1'
_space_group_IT_number 1
_cell_length_a 6.070
_cell_length_b 6.070
_cell_length_c 4.993
_cell_angle_alpha 90.00
_cell_angle_beta 90.00
_cell_angle_gamma 90.00
loop_
_space_group_symop_operation_xyz
'x,y,z'
loop_
_atom_site_label
_atom_site_type_symbol
_atom_site_fract_x
_atom_site_fract_y
_atom_site_fract_z
K1 K 0.000 0.000 0.000
Sr1 Sr 0.000 0.500 0.500
Sr2 Sr 0.500 0.000 0.500
Al1 Al 0.500 0.500 0.000
Pd1 Pd 0.500 0.500 0.500

***

Record 6
# K2AlVPd PBE relaxed
# - Energy relative to the elements: 85 kJ per mole of atoms
data_K2AlVPd
_chemical_formula_sum 'K2 Al1 V1 Pd1'
_space_group_name_H-M_alt 'P 1'
_space_group_IT_number 1
_cell_length_a 6.139
_cell_length_b 6.139
_cell_length_c 4.856
_cell_angle_alpha 90.00
_cell_angle_beta 90.00
_cell_angle_gamma 90.00
loop_
_space_group_symop_operation_xyz
'x,y,z'
loop_
_atom_site_label
_atom_site_type_symbol
_atom_site_fract_x
_atom_site_fract_y
_atom_site_fract_z
K1 K 0.000 0.500 0.000
K2 K 0.500 0.000 0.000
Al1 Al 0.000 0.000 0.500
V1 V 0.500 0.500 0.500
Pd1 Pd 0.500 0.500 0.000

***

Record 7
# KAlVPd2 PBE relaxed
# - Energy relative to the elements: 99 kJ per mole of atoms
data_KAlVPd2
_chemical_formula_sum 'K1 Al1 V1 Pd2'
_space_group_name_H-M_alt 'P 1'
_space_group_IT_number 1
_cell_length_a 4.690
_cell_length_b 4.690
_cell_length_c 5.372
_cell_angle_alpha 90.00
_cell_angle_beta 90.00
_cell_angle_gamma 90.00
loop_
_space_group_symop_operation_xyz
'x,y,z'
loop_
_atom_site_label
_atom_site_type_symbol
_atom_site_fract_x
_atom_site_fract_y
_atom_site_fract_z
K1 K 0.000 0.000 0.000
Al1 Al 0.000 0.000 0.500
V1 V 0.500 0.500 0.000
Pd1 Pd 0.000 0.500 0.500
Pd2 Pd 0.500 0.000 0.500

***

Record 8
# KY2AlPd PBE relaxed
# - Energy relative to the elements: 109 kJ per mole of atoms
data_KY2AlPd
_chemical_formula_sum 'K1 Y2 Al1 Pd1'
_space_group_name_H-M_alt 'P 1'
_space_group_IT_number 1
_cell_length_a 5.343
_cell_length_b 5.343
_cell_length_c 4.844
_cell_angle_alpha 90.00
_cell_angle_beta 90.00
_cell_angle_gamma 90.00
loop_
_space_group_symop_operation_xyz
'x,y,z'
loop_
_atom_site_label
_atom_site_type_symbol
_atom_site_fract_x
_atom_site_fract_y
_atom_site_fract_z
K1 K 0.000 0.000 0.000
Y1 Y 0.000 0.500 0.000
Y2 Y 0.500 0.000 0.000
Al1 Al 0.500 0.500 0.500
Pd1 Pd 0.000 0.000 0.500

***

Record 9
# K2PmAlS4 PBE relaxed
# - ΔE_f (raw): -1.367 eV per atom
data_K2PmAlS4
_chemical_formula_sum 'K4 Pm2 Al2 S8'
_space_group_name_H-M_alt 'P 1'
_space_group_IT_number 1
_cell_length_a 8.195
_cell_length_b 8.195
_cell_length_c 8.195
_cell_angle_alpha 122.48
_cell_angle_beta 117.85
_cell_angle_gamma 89.76
loop_
_space_group_symop_operation_xyz
'x,y,z'
loop_
_atom_site_label
_atom_site_type_symbol
_atom_site_fract_x
_atom_site_fract_y
_atom_site_fract_z
K1 K 0.000 0.000 0.000
K2 K 0.500 0.000 0.000
K3 K 0.500 0.000 0.500
K4 K 0.500 0.500 0.500
Pm1 Pm 0.000 0.500 0.500
Pm2 Pm 0.500 0.500 0.000
Al1 Al 0.000 0.000 0.500
Al2 Al 0.000 0.500 0.000
S1 S 0.189 0.743 0.446
S2 S 0.203 0.257 0.946
S3 S 0.222 0.239 0.517
S4 S 0.222 0.705 0.983
S5 S 0.778 0.295 0.017
S6 S 0.778 0.761 0.483
S7 S 0.797 0.743 0.054
S8 S 0.811 0.257 0.554

***

Record 10
# K2PmAl2Sb4 PBE relaxed
# - ΔE_f (raw): -0.503 eV per atom
data_K2PmAl2Sb4
_chemical_formula_sum 'K2 Pm1 Al2 Sb4'
_space_group_name_H-M_alt 'P 1'
_space_group_IT_number 1
_cell_length_a 8.564
_cell_length_b 8.564
_cell_length_c 8.512
_cell_angle_alpha 107.29
_cell_angle_beta 107.29
_cell_angle_gamma 29.77
loop_
_space_group_symop_operation_xyz
'x,y,z'
loop_
_atom_site_label
_atom_site_type_symbol
_atom_site_fract_x
_atom_site_fract_y
_atom_site_fract_z
K1 K 0.132 0.132 0.054
K2 K 0.868 0.868 0.946
Pm1 Pm 0.000 0.000 0.500
Al1 Al 0.332 0.332 0.526
Al2 Al 0.668 0.668 0.474
Sb1 Sb 0.205 0.205 0.682
Sb2 Sb 0.486 0.486 0.754
Sb3 Sb 0.514 0.514 0.246
Sb4 Sb 0.795 0.795 0.318

***

Record 11
# K3Pm3AlSe8 PBE relaxed
# - ΔE_f (raw): -1.443 eV per atom
data_K3Pm3AlSe8
_chemical_formula_sum 'K3 Pm3 Al1 Se8'
_space_group_name_H-M_alt 'P 1'
_space_group_IT_number 1
_cell_length_a 8.353
_cell_length_b 8.353
_cell_length_c 9.269
_cell_angle_alpha 116.81
_cell_angle_beta 116.81
_cell_angle_gamma 59.94
loop_
_space_group_symop_operation_xyz
'x,y,z'
loop_
_atom_site_label
_atom_site_type_symbol
_atom_site_fract_x
_atom_site_fract_y
_atom_site_fract_z
K1 K 0.000 0.000 0.000
K2 K 0.000 0.500 0.000
K3 K 0.500 0.000 0.000
Pm1 Pm 0.000 0.500 0.500
Pm2 Pm 0.500 0.000 0.500
Pm3 Pm 0.500 0.500 0.500
Al1 Al 0.000 0.000 0.500
Se1 Se 0.215 0.215 0.692
Se2 Se 0.215 0.763 0.692
Se3 Se 0.237 0.785 0.308
Se4 Se 0.263 0.263 0.289
Se5 Se 0.737 0.737 0.711
Se6 Se 0.763 0.215 0.692
Se7 Se 0.785 0.237 0.308
Se8 Se 0.785 0.785 0.308

***

Record 12
# K2PmAlSe4 PBE relaxed
# - ΔE_f (raw): -1.265 eV per atom
data_K2PmAlSe4
_chemical_formula_sum 'K4 Pm2 Al2 Se8'
_space_group_name_H-M_alt 'P 1'
_space_group_IT_number 1
_cell_length_a 8.575
_cell_length_b 8.575
_cell_length_c 8.575
_cell_angle_alpha 122.37
_cell_angle_beta 118.16
_cell_angle_gamma 89.58
loop_
_space_group_symop_operation_xyz
'x,y,z'
loop_
_atom_site_label
_atom_site_type_symbol
_atom_site_fract_x
_atom_site_fract_y
_atom_site_fract_z
K1 K 0.000 0.000 0.000
K2 K 0.500 0.000 0.000
K3 K 0.500 0.000 0.500
K4 K 0.500 0.500 0.500
Pm1 Pm 0.000 0.500 0.500
Pm2 Pm 0.500 0.500 0.000
Al1 Al 0.000 0.000 0.500
Al2 Al 0.000 0.500 0.000
Se1 Se 0.192 0.743 0.449
Se2 Se 0.206 0.257 0.949
Se3 Se 0.225 0.241 0.516
Se4 Se 0.225 0.709 0.984
Se5 Se 0.775 0.291 0.016
Se6 Se 0.775 0.759 0.484
Se7 Se 0.794 0.743 0.051
Se8 Se 0.808 0.257 0.551

***

What did we get for uncorrected energy? Answer: -4.2845; -3.5530; -3.6762; -3.2771; -2.8884; -3.1703; -3.8479; -3.4649; -4.7672; -3.9383; -4.7202; -4.3434 eV/atom, in the order shown.